BaTl2Bi2 (GGA-PBE, optimized geometry); ΔE_f = -1.87 eV/f.u.; M_tot = 0.000 μB/cell
1.0
5.0361 0.0000 0.0000
0.0000 5.0361 0.0000
0.0000 0.0000 15.1014
Ba Tl Bi
2 4 4
direct
0.0000 0.0000 0.0000
0.5000 0.5000 0.5000
0.0000 0.5000 0.2500
0.0000 0.5000 0.7500
0.5000 0.0000 0.2500
0.5000 0.0000 0.7500
0.0000 0.0000 0.3975
0.0000 0.0000 0.6025
0.5000 0.5000 0.1025
0.5000 0.5000 0.8975

---

Ba2Tl2Bi3 (GGA-PBE, optimized geometry); ΔE_f = -3.43 eV/f.u.; M_tot = 0.000 μB/cell
1.0
9.0432 -2.6569 0.0000
9.0432 2.6569 0.0000
-8.9754 0.0000 11.5274
Ba Tl Bi
4 4 6
direct
0.0866 0.0866 0.4339
0.2419 0.2419 0.8342
0.7581 0.7581 0.1658
0.9134 0.9134 0.5661
0.1012 0.1012 0.1730
0.4466 0.4466 0.1882
0.5534 0.5534 0.8118
0.8988 0.8988 0.8270
0.1182 0.1182 0.9622
0.3330 0.3330 0.6671
0.4066 0.4066 0.3783
0.5934 0.5934 0.6217
0.6670 0.6670 0.3329
0.8818 0.8818 0.0378

---

BaTl3Bi2 (GGA-PBE, optimized geometry); ΔE_f = -1.71 eV/f.u.; M_tot = 0.000 μB/cell
1.0
10.7228 -2.6239 0.0000
10.7228 2.6239 0.0000
-2.9760 0.0000 11.6942
Ba Tl Bi
3 9 6
direct
0.0000 0.0000 0.0000
0.1664 0.1664 0.7549
0.8336 0.8336 0.2451
0.0338 0.0338 0.3534
0.1984 0.1984 0.4171
0.3163 0.3163 0.0155
0.3852 0.3852 0.7621
0.5000 0.5000 0.5000
0.6148 0.6148 0.2379
0.6837 0.6837 0.9845
0.8016 0.8016 0.5829
0.9662 0.9662 0.6466
0.1887 0.1887 0.1373
0.3504 0.3504 0.4687
0.4526 0.4526 0.1885
0.5474 0.5474 0.8115
0.6496 0.6496 0.5313
0.8113 0.8113 0.8627

---

BaTl2Bi5 (GGA-PBE, optimized geometry); ΔE_f = -1.58 eV/f.u.; M_tot = 0.000 μB/cell
1.0
0.0000 5.5122 6.9246
3.5358 0.0000 6.9246
3.5358 5.5122 0.0000
Ba Tl Bi
1 2 5
direct
0.0000 0.0000 0.0000
0.2632 0.2632 0.7368
0.7368 0.7368 0.2632
0.1218 0.1218 0.3782
0.3782 0.3782 0.1218
0.5000 0.5000 0.5000
0.6218 0.6218 0.8782
0.8782 0.8782 0.6218

---

BaTlBi4 (GGA-PBE, optimized geometry); ΔE_f = -1.76 eV/f.u.; M_tot = 0.000 μB/cell
1.0
0.0000 4.7647 4.7647
4.7647 0.0000 4.7647
4.7647 4.7647 0.0000
Ba Tl Bi
1 1 4
direct
0.0000 0.0000 0.0000
0.2500 0.2500 0.2500
0.1303 0.6232 0.6232
0.6232 0.1303 0.6232
0.6232 0.6232 0.1303
0.6232 0.6232 0.6232

---

BaTlBi3 (GGA-PBE, optimized geometry); ΔE_f = 3.01 eV/f.u.; M_tot = 0.000 μB/cell
1.0
6.4163 0.0000 0.0000
0.0000 6.4163 0.0000
0.0000 0.0000 6.4163
Ba Tl Bi
1 1 3
direct
0.0000 0.0000 0.0000
0.5000 0.5000 0.5000
0.0000 0.0000 0.5000
0.0000 0.5000 0.0000
0.5000 0.0000 0.0000

---

Ba3Tl6Bi5 (GGA-PBE, optimized geometry); ΔE_f = -5.17 eV/f.u.; M_tot = 0.000 μB/cell
1.0
5.0715 0.0000 0.0000
0.0000 16.9861 0.0000
0.0000 0.0000 12.0044
Ba Tl Bi
6 12 10
direct
0.2500 0.0569 0.2345
0.2500 0.4431 0.2345
0.2500 0.7500 0.2873
0.7500 0.2500 0.7127
0.7500 0.5569 0.7655
0.7500 0.9431 0.7655
0.2500 0.0633 0.5769
0.2500 0.2500 0.0199
0.2500 0.2500 0.3974
0.2500 0.4367 0.5769
0.2500 0.5930 0.9881
0.2500 0.9070 0.9881
0.7500 0.0930 0.0119
0.7500 0.4070 0.0119
0.7500 0.5633 0.4231
0.7500 0.7500 0.6026
0.7500 0.7500 0.9801
0.7500 0.9367 0.4231
0.2500 0.1051 0.8344
0.2500 0.3949 0.8344
0.2500 0.6303 0.5546
0.2500 0.7500 0.8014
0.2500 0.8697 0.5546
0.7500 0.1303 0.4454
0.7500 0.2500 0.1986
0.7500 0.3697 0.4454
0.7500 0.6051 0.1656
0.7500 0.8949 0.1656

---

BaTlBi (GGA-PBE, optimized geometry); ΔE_f = -1.37 eV/f.u.; M_tot = 0.000 μB/cell
1.0
4.8725 0.0000 0.0000
0.0000 4.8725 0.0000
0.0000 0.0000 10.0458
Ba Tl Bi
2 2 2
direct
0.0000 0.0000 0.0000
0.5000 0.5000 0.5000
0.0000 0.0000 0.3292
0.5000 0.5000 0.8292
0.0000 0.0000 0.6497
0.5000 0.5000 0.1497

---

Ba3Tl3Bi8 (GGA-PBE, optimized geometry); ΔE_f = -4.99 eV/f.u.; M_tot = 0.000 μB/cell
1.0
-2.8607 5.4056 8.5672
2.8607 -5.4056 8.5672
2.8607 5.4056 -8.5672
Ba Tl Bi
3 3 8
direct
0.0000 0.0000 0.0000
0.2909 0.2909 0.0000
0.7091 0.7091 0.0000
0.3180 0.5000 0.8180
0.5000 0.0000 0.5000
0.6820 0.5000 0.1820
0.0121 0.6613 0.3508
0.1337 0.8628 0.2708
0.3105 0.6613 0.6492
0.4080 0.1372 0.2708
0.5920 0.8628 0.7292
0.6895 0.3387 0.3508
0.8663 0.1372 0.7292
0.9879 0.3387 0.6492

---

BaTl6Bi2 (GGA-PBE, optimized geometry); ΔE_f = -1.70 eV/f.u.; M_tot = 0.000 μB/cell
1.0
4.9169 0.0000 0.0000
0.0000 4.9169 0.0000
0.0000 0.0000 12.9451
Ba Tl Bi
1 6 2
direct
0.0000 0.0000 0.0000
0.0000 0.0000 0.5000
0.0000 0.5000 0.2950
0.0000 0.5000 0.7050
0.5000 0.0000 0.2950
0.5000 0.0000 0.7050
0.5000 0.5000 0.5000
0.5000 0.5000 0.1201
0.5000 0.5000 0.8799

---

BaTl2Bi2 (GGA-PBE, optimized geometry); ΔE_f = -1.39 eV/f.u.; M_tot = 0.000 μB/cell
1.0
9.3990 0.0000 0.0000
0.0000 9.3990 0.0000
0.0000 0.0000 3.9560
Ba Tl Bi
2 4 4
direct
0.0000 0.0000 0.0000
0.5000 0.5000 0.0000
0.1222 0.3778 0.0000
0.3778 0.8778 0.0000
0.6222 0.1222 0.0000
0.8778 0.6222 0.0000
0.1739 0.6739 0.5000
0.3261 0.1739 0.5000
0.6739 0.8261 0.5000
0.8261 0.3261 0.5000

---

BaTlBiW2 (GGA-PBE, optimized geometry); ΔE_f = 14.61 eV/f.u.; M_tot = 4.881 μB/cell
1.0
5.4088 0.0000 0.0000
0.0000 5.4088 0.0000
0.0000 0.0000 6.2253
Ba Tl Bi W
1 1 1 2
direct
0.0000 0.0000 0.0000
0.5000 0.5000 0.5000
0.0000 0.0000 0.5000
0.0000 0.5000 0.0000
0.5000 0.0000 0.0000

---

BaTlZnBi2 (GGA-PBE, optimized geometry); ΔE_f = -1.05 eV/f.u.; M_tot = 0.000 μB/cell
1.0
5.6491 0.0000 0.0000
0.0000 5.6491 0.0000
0.0000 0.0000 5.4412
Ba Tl Zn Bi
1 1 1 2
direct
0.0000 0.0000 0.0000
0.5000 0.5000 0.0000
0.5000 0.5000 0.5000
0.0000 0.5000 0.5000
0.5000 0.0000 0.5000

---

BaTl2ZnBi2 (GGA-PBE, optimized geometry); ΔE_f = -1.69 eV/f.u.; M_tot = 0.000 μB/cell
1.0
4.9725 0.0000 0.0000
0.0000 9.8936 0.0000
0.0000 0.0000 8.3368
Ba Tl Zn Bi
2 4 2 4
direct
0.0000 0.0619 0.0000
0.0000 0.9381 0.5000
0.0000 0.3497 0.3191
0.0000 0.6503 0.8191
0.5000 0.4190 0.0009
0.5000 0.5810 0.5009
0.5000 0.1614 0.6565
0.5000 0.8386 0.1565
0.0000 0.3147 0.7028
0.0000 0.6853 0.2028
0.5000 0.1217 0.2930
0.5000 0.8783 0.7930

---

BaTlZnBi (GGA-PBE, optimized geometry); ΔE_f = -1.14 eV/f.u.; M_tot = 0.000 μB/cell
1.0
8.0004 0.0000 0.0000
0.0000 8.0004 0.0000
0.0000 0.0000 8.0004
Ba Tl Zn Bi
4 4 4 4
direct
0.0000 0.0000 0.0000
0.0000 0.5000 0.5000
0.5000 0.0000 0.5000
0.5000 0.5000 0.0000
0.2500 0.2500 0.7500
0.2500 0.7500 0.2500
0.7500 0.2500 0.2500
0.7500 0.7500 0.7500
0.2500 0.2500 0.2500
0.2500 0.7500 0.7500
0.7500 0.2500 0.7500
0.7500 0.7500 0.2500
0.0000 0.0000 0.5000
0.0000 0.5000 0.0000
0.5000 0.0000 0.0000
0.5000 0.5000 0.5000

---

BaTl2ZnBi (GGA-PBE, optimized geometry); ΔE_f = -0.94 eV/f.u.; M_tot = 0.000 μB/cell
1.0
5.4839 0.0000 0.0000
0.0000 5.4839 0.0000
0.0000 0.0000 5.6758
Ba Tl Zn Bi
1 2 1 1
direct
0.0000 0.0000 0.0000
0.0000 0.5000 0.5000
0.5000 0.0000 0.5000
0.5000 0.5000 0.5000
0.5000 0.5000 0.0000

---

Ba2TmBi2 (GGA-PBE, optimized geometry); ΔE_f = -3.77 eV/f.u.; M_tot = 1.029 μB/cell
1.0
-4.0465 7.3292 3.6326
4.0465 -7.3292 3.6326
4.0465 7.3292 -3.6326
Ba Tm Bi
4 2 4
direct
0.1461 0.1715 0.3177
0.3539 0.6715 0.0254
0.6461 0.3285 0.9746
0.8539 0.8285 0.6823
0.2500 0.7500 0.5000
0.7500 0.2500 0.5000
0.1121 0.7305 0.8425
0.3879 0.2305 0.6184
0.6121 0.7695 0.3816
0.8879 0.2695 0.1575

---

Ba5TmBi4 (GGA-PBE, optimized geometry); ΔE_f = -7.08 eV/f.u.; M_tot = 1.015 μB/cell
1.0
11.4361 -2.4950 0.0000
11.4361 2.4950 0.0000
-3.7091 0.0000 8.4432
Ba Tm Bi
5 1 4
direct
0.0000 0.0000 0.0000
0.3355 0.3355 0.5858
0.3355 0.3355 0.0838
0.6645 0.6645 0.9162
0.6645 0.6645 0.4142
0.0000 0.0000 0.5000
0.1929 0.1929 0.6934
0.5000 0.5000 0.2774
0.5000 0.5000 0.7226
0.8071 0.8071 0.3066

---

BaUBi2 (GGA-PBE, optimized geometry); ΔE_f = -1.39 eV/f.u.; M_tot = 6.012 μB/cell
1.0
4.7210 0.0000 0.0000
-2.3605 4.0885 0.0000
0.0000 0.0000 24.1115
Ba U Bi
3 3 6
direct
0.0000 0.0000 0.0000
0.3333 0.6667 0.6667
0.6667 0.3333 0.3333
0.0000 0.0000 0.5000
0.3333 0.6667 0.1667
0.6667 0.3333 0.8333
0.0000 0.0000 0.2365
0.0000 0.0000 0.7635
0.3333 0.6667 0.4302
0.3333 0.6667 0.9031
0.6667 0.3333 0.0969
0.6667 0.3333 0.5698

---

BaUBi2 (GGA-PBE, optimized geometry); ΔE_f = -1.14 eV/f.u.; M_tot = 2.754 μB/cell
1.0
3.9359 0.0000 0.0000
0.0000 3.9359 0.0000
0.0000 0.0000 8.6478
Ba U Bi
1 1 2
direct
0.0000 0.0000 0.0000
0.0000 0.0000 0.5000
0.5000 0.5000 0.2819
0.5000 0.5000 0.7181